This record from Alexandria describes La4Tl3Hg after structural relaxation. The functional is PBE-GGA.

Output
The value obtained for the final energy is -61.2 eV per cell. The value obtained for the energy of formation is -0.437 eV/atom.

```
data_La4Tl3Hg
_space_group_name_H-M_alt 'C 1 2/m 1'
_space_group_IT_number 12
_space_group_name_Hall '-C 2y'
_cell_length_a 17.113
_cell_length_b 5.560
_cell_length_c 5.560
_cell_angle_alpha 90.00
_cell_angle_beta 108.91
_cell_angle_gamma 90.00
loop_
_atom_site_label
_atom_site_type_symbol
_atom_site_fract_x
_atom_site_fract_y
_atom_site_fract_z
La1 La 0.123 0.000 0.123
La2 La 0.123 0.500 0.623
Tl1 Tl 0.000 0.000 0.500
Tl2 Tl 0.248 0.500 0.248
Hg1 Hg 0.000 0.500 0.000
```

This record from Alexandria describes La2TlHg2 after structural relaxation. The functional is PBE-GGA.

Output
As for the energy relative to the lowest polymorph listed for this composition: 0.218 eV/atom. The value obtained for the final energy is -27.9 eV per cell. The value obtained for the energy of formation is -0.225 eV/atom.

```
data_La2TlHg2
_space_group_name_H-M_alt 'I 4/m m m'
_space_group_IT_number 139
_space_group_name_Hall '-I 4 2'
_cell_length_a 4.199
_cell_length_b 4.199
_cell_length_c 17.977
_cell_angle_alpha 90.00
_cell_angle_beta 90.00
_cell_angle_gamma 90.00
loop_
_atom_site_label
_atom_site_type_symbol
_atom_site_fract_x
_atom_site_fract_y
_atom_site_fract_z
La1 La 0.000 0.000 0.104
Tl1 Tl 0.000 0.000 0.500
Hg1 Hg 0.000 0.500 0.250
```

This record from Alexandria describes LaTl2Hg after structural relaxation. The functional is PBE-GGA.

Output
The value obtained for the final energy is -45.9 eV per cell. The value obtained for the energy of formation is -0.376 eV/atom.

```
data_LaTl2Hg
_space_group_name_H-M_alt 'I 4/m m m'
_space_group_IT_number 139
_space_group_name_Hall '-I 4 2'
_cell_length_a 5.016
_cell_length_b 5.016
_cell_length_c 18.058
_cell_angle_alpha 90.00
_cell_angle_beta 90.00
_cell_angle_gamma 90.00
loop_
_atom_site_label
_atom_site_type_symbol
_atom_site_fract_x
_atom_site_fract_y
_atom_site_fract_z
La1 La 0.000 0.000 0.131
Tl1 Tl 0.000 0.000 0.366
Tl2 Tl 0.000 0.500 0.000
Hg1 Hg 0.000 0.500 0.250
```

This record from Alexandria describes La2TlHg after structural relaxation. The functional is PBE-GGA.

Output
The value obtained for the final energy is -52.6 eV per cell. The value obtained for the energy of formation is -0.155 eV/atom.

```
data_La2TlHg
_space_group_name_H-M_alt 'I -4 2 d'
_space_group_IT_number 122
_space_group_name_Hall 'I -4 2bw'
_cell_length_a 8.771
_cell_length_b 8.771
_cell_length_c 6.930
_cell_angle_alpha 90.00
_cell_angle_beta 90.00
_cell_angle_gamma 90.00
loop_
_atom_site_label
_atom_site_type_symbol
_atom_site_fract_x
_atom_site_fract_y
_atom_site_fract_z
La1 La 0.235 0.250 0.125
Tl1 Tl 0.000 0.000 0.500
Hg1 Hg 0.000 0.000 0.000
```